Here is a relaxed ErHfTcPt crystal from Alexandria via LeMat-Bulk. Energies are from PBE. Values from VASP.

```
&SYSTEM
  ibrav = 0, nat = 16, ntyp = 4
/
ATOMIC_SPECIES
Er 167.26 Er.upf
Hf 178.49 Hf.upf
Tc 98.00 Tc.upf
Pt 195.08 Pt.upf
CELL_PARAMETERS angstrom
6.6902 0.0000 0.0000
0.0000 6.6902 0.0000
0.0000 0.0000 6.6902
ATOMIC_POSITIONS crystal
Er 0.0000 0.0000 0.0000
Er 0.0000 0.5000 0.5000
Er 0.5000 0.0000 0.5000
Er 0.5000 0.5000 0.0000
Hf 0.0000 0.0000 0.5000
Hf 0.0000 0.5000 0.0000
Hf 0.5000 0.0000 0.0000
Hf 0.5000 0.5000 0.5000
Tc 0.2500 0.2500 0.7500
Tc 0.2500 0.7500 0.2500
Tc 0.7500 0.2500 0.2500
Tc 0.7500 0.7500 0.7500
Pt 0.2500 0.2500 0.2500
Pt 0.2500 0.7500 0.7500
Pt 0.7500 0.2500 0.7500
Pt 0.7500 0.7500 0.2500
```

Output
For the total magnetization, the calculation gives 0.0 μB per formula unit. The calculation puts the formation energy at -706 meV/atom.